Here is an optimized crystal structure of LiTl2Ag from Alexandria via LeMat-Bulk. Energies are from GGA-PBE. Values from VASP.

Results
Distance to the lowest polymorph of the same formula, meV/atom: 1.3
E_form, meV/atom: -60
DOS(E_F), states/eV/cell: 5.689
Calculated total energy, eV/atom: -2.434

```
&SYSTEM
  ibrav = 0, nat = 16, ntyp = 3
/
ATOMIC_SPECIES
Li 6.94 Li.upf
Tl 204.38 Tl.upf
Ag 107.87 Ag.upf
ATOMIC_POSITIONS crystal
Li 0.0000 0.0000 0.0000
Li 0.0000 0.5000 0.5000
Li 0.5000 0.0000 0.5000
Li 0.5000 0.5000 0.0000
Tl 0.2500 0.2500 0.2500
Tl 0.2500 0.2500 0.7500
Tl 0.2500 0.7500 0.2500
Tl 0.2500 0.7500 0.7500
Tl 0.7500 0.2500 0.2500
Tl 0.7500 0.2500 0.7500
Tl 0.7500 0.7500 0.2500
Tl 0.7500 0.7500 0.7500
Ag 0.0000 0.0000 0.5000
Ag 0.0000 0.5000 0.0000
Ag 0.5000 0.0000 0.0000
Ag 0.5000 0.5000 0.5000
CELL_PARAMETERS angstrom
7.0858 0.0000 0.0000
0.0000 7.0858 0.0000
0.0000 0.0000 7.0858
```